Density functional theory data (GGA-PBE) for a relaxed CuReO5 crystal.

Cell and atoms, written as extended XYZ:
```
14
Lattice="4.087 -3.311 0.000 4.087 3.311 0.000 -3.547 0.000 6.633" Properties=species:S:1:pos:R:3 pbc="T T T"
Cu 1.426 2.959 4.975
Cu 3.200 -2.959 1.658
Re 4.087 0.000 0.000
Re 2.313 0.000 3.317
O 2.060 1.829 3.560
O -1.091 0.160 5.724
O 0.793 1.829 6.390
O 0.683 -0.160 2.407
O 3.200 0.344 1.658
O 1.426 -0.344 4.975
O 3.943 0.160 4.226
O 3.833 -1.829 0.243
O 5.717 -0.160 0.909
O 2.567 -1.829 3.073
```

Computed properties:
Raw formation energy   -6.4 eV/f.u.
Crystal system   monoclinic
V   12.82 Å³/atom

Density functional theory data (GGA-PBE) for a relaxed CuRe2O8 crystal.

Cell and atoms, written as extended XYZ:
```
11
Lattice="5.459 -3.765 0.000 5.459 3.765 0.000 -0.959 0.000 5.113" Properties=species:S:1:pos:R:3 pbc="T T T"
Cu 0.000 0.000 0.000
Re 1.387 0.000 3.330
Re 8.573 0.000 1.784
O 3.821 2.366 0.986
O 1.006 0.000 1.580
O 6.139 2.366 4.127
O 3.101 0.000 3.520
O 6.860 0.000 1.593
O 3.821 -2.366 0.986
O 8.955 0.000 3.533
O 6.139 -2.366 4.127
```

Computed properties:
Raw formation energy   -13.8 eV/f.u.
Crystal system   monoclinic
V   19.11 Å³/atom

Density functional theory data (GGA-PBE) for a relaxed Cu2ReRhO crystal.

Cell and atoms, written as extended XYZ:
```
5
Lattice="4.662 0.000 0.000 0.000 4.662 0.000 0.000 0.000 4.603" Properties=species:S:1:pos:R:3 pbc="T T T"
Cu 0.000 2.331 0.000
Cu 2.331 0.000 0.000
Re 0.000 0.000 0.000
Rh 0.000 0.000 2.302
O 2.331 2.331 2.302
```

Computed properties:
Energy above the lowest structure with this stoichiometry   1584 meV/atom
Raw formation energy   9.4 eV/f.u.
Crystal system   tetragonal
V   20.01 Å³/atom

Density functional theory data (GGA-PBE) for a relaxed Cu2ReRhO crystal.

Cell and atoms, written as extended XYZ:
```
5
Lattice="4.042 0.000 0.000 0.000 4.042 0.000 0.000 0.000 3.901" Properties=species:S:1:pos:R:3 pbc="T T T"
Cu 0.000 2.021 0.000
Cu 2.021 0.000 0.000
Re 0.000 0.000 1.950
Rh 2.021 2.021 1.950
O 0.000 0.000 0.000
```

Computed properties:
Energy above the lowest structure with this stoichiometry   0 meV/atom
Raw formation energy   1.5 eV/f.u.
Crystal system   tetragonal
V   12.75 Å³/atom

Density functional theory data (GGA-PBE) for a relaxed TiCuReO6 crystal.

Cell and atoms, written as extended XYZ:
```
18
Lattice="5.036 0.000 0.000 -2.518 4.362 0.000 0.000 0.000 9.083" Properties=species:S:1:pos:R:3 pbc="T T T"
Ti 0.000 2.908 2.271
Ti 2.518 1.454 6.812
Cu 0.000 0.000 0.000
Cu 0.000 0.000 4.541
Re 0.000 2.908 6.812
Re 2.518 1.454 2.271
O -0.857 1.561 5.750
O -1.595 2.839 7.874
O 0.857 1.561 7.874
O -0.738 4.323 5.750
O 1.780 0.038 1.208
O 0.923 1.523 3.333
O 1.595 2.839 5.750
O 0.738 4.323 7.874
O 3.256 0.038 3.333
O 1.661 2.801 1.208
O 4.113 1.523 1.208
O 3.375 2.801 3.333
```

Computed properties:
Raw formation energy   -15.8 eV/f.u.
Crystal system   trigonal
V   11.08 Å³/atom

Density functional theory data (GGA-PBE) for a relaxed Tl2Cu2ReO6 crystal.

Cell and atoms, written as extended XYZ:
```
11
Lattice="2.959 1.708 5.495 -2.959 1.708 5.495 0.000 -3.416 5.495" Properties=species:S:1:pos:R:3 pbc="T T T"
Tl 0.000 0.000 3.570
Tl 0.000 0.000 12.914
Cu 0.000 0.000 6.597
Cu 0.000 0.000 9.887
Re 0.000 0.000 0.000
O 0.000 -1.878 6.631
O -1.627 0.939 6.631
O -1.627 -0.939 9.853
O 1.627 0.939 6.631
O 1.627 -0.939 9.853
O 0.000 1.878 9.853
```

Computed properties:
Raw formation energy   -10.6 eV/f.u.
Crystal system   trigonal
V   15.15 Å³/atom

Repeat the third record exactly.
Density functional theory data (GGA-PBE) for a relaxed Cu2ReRhO crystal.

Cell and atoms, written as extended XYZ:
```
5
Lattice="4.662 0.000 0.000 0.000 4.662 0.000 0.000 0.000 4.603" Properties=species:S:1:pos:R:3 pbc="T T T"
Cu 0.000 2.331 0.000
Cu 2.331 0.000 0.000
Re 0.000 0.000 0.000
Rh 0.000 0.000 2.302
O 2.331 2.331 2.302
```

Computed properties:
Energy above the lowest structure with this stoichiometry   1584 meV/atom
Raw formation energy   9.4 eV/f.u.
Crystal system   tetragonal
V   20.01 Å³/atom

Question: Which value of V does entry 6 give?
Answer: 15.15 Å³/atom